First-principles (meta-GGA SCAN) data for LiV3O6 at its PBEsol-relaxed geometry, as listed in Alexandria via LeMat-Bulk.

Results
For the total magnetization, the calculation gives 12.0 μB per cell. The formation energy (no corrections) is -2620.9 meV per atom. The value obtained for the energy is -355.353 eV per cell.

a b c (Å): 4.9023 4.9023 13.6041
angles (deg): 90.00 90.00 120.00
Space group R3 (No. 146, hexagonal axes)
Symmetry-distinct sites (fractional):
Li: 0.0000 0.0000 0.0000 [3 per cell]
V: 0.0000 0.0000 0.2883 [3 per cell]
V: 0.0000 0.0000 0.4872 [3 per cell]
V: 0.0000 0.0000 0.7880 [3 per cell]
O: 0.0025 0.6574 0.5471 [9 per cell]
O: 0.0175 0.3849 0.0523 [9 per cell]

First-principles (meta-GGA SCAN) data for Li3V5O10 at its PBEsol-relaxed geometry, as listed in Alexandria via LeMat-Bulk.

Results
For the total magnetization, the calculation gives 0.0 μB per cell. The formation energy (no corrections) is -2518.3 meV per atom. The value obtained for the energy is -202.252 eV per cell.

a b c (Å): 4.855 4.878 7.428
angles (deg): 73.76 71.07 81.83
Space group P-1 (No. 2)
Symmetry-distinct sites (fractional):
Li: 0.000 0.000 0.000 [1 per cell]
Li: 0.278 0.502 0.918 [2 per cell]
V: 0.155 0.011 0.604 [2 per cell]
V: 0.364 0.986 0.206 [2 per cell]
V: 0.500 0.500 0.500 [1 per cell]
O: 0.051 0.236 0.160 [2 per cell]
O: 0.159 0.723 0.456 [2 per cell]
O: 0.270 0.239 0.741 [2 per cell]
O: 0.372 0.775 0.042 [2 per cell]
O: 0.466 0.220 0.359 [2 per cell]

First-principles (meta-GGA SCAN) data for LiVO3 at its PBEsol-relaxed geometry, as listed in Alexandria via LeMat-Bulk.

Results
For the total magnetization, the calculation gives 0.0 μB per cell. The formation energy (no corrections) is -2455.3 meV per atom. The value obtained for the energy is -203.393 eV per cell.

a b c (Å): 4.704 8.952 4.867
angles (deg): 90.00 102.95 90.00
Space group C2/m (No. 12)
Symmetry-distinct sites (fractional):
Li: 0.000 0.152 0.000 [4 per cell]
V: 0.000 0.345 0.500 [4 per cell]
O: 0.204 0.500 0.708 [4 per cell]
O: 0.241 0.299 0.270 [8 per cell]

First-principles (meta-GGA SCAN) data for Li3V3O8 at its PBEsol-relaxed geometry, as listed in Alexandria via LeMat-Bulk.

Results
For the total magnetization, the calculation gives 0.0 μB per cell. The formation energy (no corrections) is -2543.6 meV per atom. The value obtained for the energy is -290.189 eV per cell.

a b c (Å): 5.627 5.829 8.246
angles (deg): 90.00 90.00 90.00
Space group Imm2 (No. 44)
Symmetry-distinct sites (fractional):
Li: 0.000 0.000 0.000 [2 per cell]
Li: 0.000 0.241 0.383 [4 per cell]
V: 0.000 0.500 0.753 [2 per cell]
V: 0.217 0.500 0.155 [4 per cell]
O: 0.000 0.242 0.633 [4 per cell]
O: 0.000 0.266 0.125 [4 per cell]
O: 0.238 0.500 0.880 [4 per cell]
O: 0.240 0.500 0.356 [4 per cell]

First-principles (meta-GGA SCAN) data for Li2V18O39 at its PBEsol-relaxed geometry, as listed in Alexandria via LeMat-Bulk.

Results
For the total magnetization, the calculation gives 28.0 μB per cell. The formation energy (no corrections) is -2596.4 meV per atom. The value obtained for the energy is -1431.544 eV per cell.

a b c (Å): 21.277 3.704 16.810
angles (deg): 90.00 103.46 90.00
Space group C2/m (No. 12)
Symmetry-distinct sites (fractional):
Li: 0.205 0.000 0.309 [4 per cell]
V: 0.026 0.500 0.686 [4 per cell]
V: 0.048 0.000 0.099 [4 per cell]
V: 0.074 0.500 0.516 [4 per cell]
V: 0.091 0.000 0.819 [4 per cell]
V: 0.115 0.500 0.231 [4 per cell]
V: 0.141 0.000 0.647 [4 per cell]
V: 0.192 0.000 0.019 [4 per cell]
V: 0.214 0.500 0.438 [4 per cell]
V: 0.241 0.000 0.849 [4 per cell]
O: 0.000 0.000 0.000 [2 per cell]
O: 0.008 0.500 0.427 [4 per cell]
O: 0.026 0.000 0.858 [4 per cell]
O: 0.042 0.500 0.280 [4 per cell]
O: 0.050 0.000 0.696 [4 per cell]
O: 0.062 0.500 0.122 [4 per cell]
O: 0.078 0.000 0.543 [4 per cell]
O: 0.088 0.500 0.792 [4 per cell]
O: 0.111 0.000 0.221 [4 per cell]
O: 0.116 0.500 0.638 [4 per cell]
O: 0.125 0.000 0.053 [4 per cell]
O: 0.141 0.500 0.477 [4 per cell]
O: 0.158 0.000 0.907 [4 per cell]
O: 0.168 0.500 0.334 [4 per cell]
O: 0.175 0.000 0.760 [4 per cell]
O: 0.195 0.500 0.195 [4 per cell]
O: 0.209 0.000 0.616 [4 per cell]
O: 0.217 0.500 0.030 [4 per cell]
O: 0.226 0.000 0.449 [4 per cell]
O: 0.244 0.500 0.875 [4 per cell]

First-principles (meta-GGA SCAN) data for Li3V5O14 at its PBEsol-relaxed geometry, as listed in Alexandria via LeMat-Bulk.

Results
For the total magnetization, the calculation gives 0.0 μB per cell. The formation energy (no corrections) is -2413.5 meV per atom. The value obtained for the energy is -234.945 eV per cell.

a b c (Å): 8.5854 8.5854 4.7139
angles (deg): 90.00 90.00 120.00
Space group P31m (No. 157)
Symmetry-distinct sites (fractional):
Li: 0.0000 0.5804 0.0000 [3 per cell]
V: 0.0000 0.2219 0.2625 [3 per cell]
V: 0.3333 0.6667 0.3007 [2 per cell]
O: 0.0000 0.2185 0.6002 [3 per cell]
O: 0.0000 0.8196 0.1555 [3 per cell]
O: 0.1609 0.4675 0.1615 [6 per cell]
O: 0.3333 0.6667 0.6445 [2 per cell]

First-principles (meta-GGA SCAN) data for Li3V2O6 at its PBEsol-relaxed geometry, as listed in Alexandria via LeMat-Bulk.

Results
For the total magnetization, the calculation gives 1.0 μB per cell. The formation energy (no corrections) is -2519.2 meV per atom. The value obtained for the energy is -107.245 eV per cell.

a b c (Å): 4.865 4.909 5.126
angles (deg): 100.36 102.99 117.55
Space group P-1 (No. 2)
Symmetry-distinct sites (fractional):
Li: 0.000 0.000 0.000 [1 per cell]
Li: 0.329 0.624 0.033 [2 per cell]
V: 0.170 0.821 0.540 [2 per cell]
O: 0.047 0.416 0.261 [2 per cell]
O: 0.201 0.203 0.738 [2 per cell]
O: 0.426 0.058 0.277 [2 per cell]

First-principles (meta-GGA SCAN) data for Li4V5O10 at its PBEsol-relaxed geometry, as listed in Alexandria via LeMat-Bulk.

Results
For the total magnetization, the calculation gives 0.9 μB per cell. The formation energy (no corrections) is -2515.7 meV per atom. The value obtained for the energy is -207.112 eV per cell.

a b c (Å): 4.858 4.992 7.396
angles (deg): 101.38 108.71 98.71
Space group P1 (No. 1)
Symmetry-distinct sites (fractional):
Li: 0.000 0.000 0.000 [1 per cell]
Li: 0.185 0.983 0.374 [1 per cell]
Li: 0.379 0.496 0.282 [1 per cell]
Li: 0.585 0.977 0.206 [1 per cell]
V: 0.132 0.476 0.874 [1 per cell]
V: 0.382 0.991 0.774 [1 per cell]
V: 0.621 0.490 0.673 [1 per cell]
V: 0.796 0.475 0.067 [1 per cell]
V: 0.946 0.491 0.487 [1 per cell]
O: 0.163 0.726 0.118 [1 per cell]
O: 0.204 0.263 0.634 [1 per cell]
O: 0.367 0.719 0.538 [1 per cell]
O: 0.375 0.247 0.017 [1 per cell]
O: 0.560 0.715 0.920 [1 per cell]
O: 0.582 0.245 0.432 [1 per cell]
O: 0.769 0.204 0.816 [1 per cell]
O: 0.793 0.703 0.321 [1 per cell]
O: 0.956 0.254 0.224 [1 per cell]
O: 0.994 0.765 0.737 [1 per cell]

First-principles (meta-GGA SCAN) data for Li7V5O12 at its PBEsol-relaxed geometry, as listed in Alexandria via LeMat-Bulk.

Results
For the total magnetization, the calculation gives 16.0 μB per cell. The formation energy (no corrections) is -2542.4 meV per atom. The value obtained for the energy is -479.924 eV per cell.

a b c (Å): 5.042 8.485 9.407
angles (deg): 90.00 98.93 90.00
Space group C2 (No. 5)
Symmetry-distinct sites (fractional):
Li: 0.000 0.000 0.000 [2 per cell]
Li: 0.000 0.170 0.500 [2 per cell]
Li: 0.000 0.677 0.000 [2 per cell]
Li: 0.236 0.835 0.242 [4 per cell]
Li: 0.248 0.012 0.757 [4 per cell]
V: 0.000 0.346 0.000 [2 per cell]
V: 0.000 0.494 0.500 [2 per cell]
V: 0.000 0.844 0.500 [2 per cell]
V: 0.247 0.167 0.236 [4 per cell]
O: 0.100 0.670 0.376 [4 per cell]
O: 0.103 0.181 0.873 [4 per cell]
O: 0.126 0.508 0.876 [4 per cell]
O: 0.141 0.005 0.378 [4 per cell]
O: 0.144 0.333 0.379 [4 per cell]
O: 0.145 0.835 0.877 [4 per cell]

First-principles (meta-GGA SCAN) data for LiVO2 at its PBEsol-relaxed geometry, as listed in Alexandria via LeMat-Bulk.

Results
For the total magnetization, the calculation gives 3.9 μB per cell. The formation energy (no corrections) is -2460.7 meV per atom. The value obtained for the energy is -84.366 eV per cell.

a b c (Å): 2.7405 2.7405 10.1037
angles (deg): 90.00 90.00 120.00
Space group P6_3mc (No. 186)
Symmetry-distinct sites (fractional):
Li: 0.3333 0.6667 0.0000 [2 per cell]
V: 0.3333 0.6667 0.2555 [2 per cell]
O: 0.0000 0.0000 0.3755 [2 per cell]
O: 0.3333 0.6667 0.6354 [2 per cell]

First-principles (meta-GGA SCAN) data for Li4V3O8 at its PBEsol-relaxed geometry, as listed in Alexandria via LeMat-Bulk.

Results
For the total magnetization, the calculation gives 6.0 μB per cell. The formation energy (no corrections) is -2509.3 meV per atom. The value obtained for the energy is -299.028 eV per cell.

a b c (Å): 6.058 5.622 9.742
angles (deg): 90.00 122.53 90.00
Space group Pc (No. 7)
Symmetry-distinct sites (fractional):
Li: 0.000 0.250 0.000 [2 per cell]
Li: 0.052 0.250 0.354 [2 per cell]
Li: 0.484 0.250 0.497 [2 per cell]
Li: 0.904 0.250 0.639 [2 per cell]
V: 0.478 0.010 0.745 [2 per cell]
V: 0.479 0.489 0.745 [2 per cell]
V: 0.499 0.250 0.991 [2 per cell]
O: 0.259 0.250 0.757 [2 per cell]
O: 0.284 0.010 0.018 [2 per cell]
O: 0.284 0.489 0.018 [2 per cell]
O: 0.286 0.250 0.259 [2 per cell]
O: 0.683 0.250 0.229 [2 per cell]
O: 0.703 0.009 0.985 [2 per cell]
O: 0.703 0.250 0.746 [2 per cell]
O: 0.703 0.491 0.985 [2 per cell]

First-principles (meta-GGA SCAN) data for Li2V5O10 at its PBEsol-relaxed geometry, as listed in Alexandria via LeMat-Bulk.

Results
For the total magnetization, the calculation gives 0.0 μB per cell. The formation energy (no corrections) is -2515.1 meV per atom. The value obtained for the energy is -394.582 eV per cell.

a b c (Å): 4.837 4.935 13.774
angles (deg): 84.52 83.38 79.96
Space group P-1 (No. 2)
Symmetry-distinct sites (fractional):
Li: 0.024 0.267 0.467 [2 per cell]
Li: 0.467 0.215 0.043 [2 per cell]
V: 0.091 0.480 0.914 [2 per cell]
V: 0.206 0.009 0.788 [2 per cell]
V: 0.273 0.221 0.253 [2 per cell]
V: 0.314 0.449 0.688 [2 per cell]
V: 0.414 0.017 0.602 [2 per cell]
O: 0.010 0.610 0.226 [2 per cell]
O: 0.088 0.852 0.675 [2 per cell]
O: 0.117 0.169 0.137 [2 per cell]
O: 0.185 0.371 0.580 [2 per cell]
O: 0.235 0.602 0.016 [2 per cell]
O: 0.291 0.915 0.481 [2 per cell]
O: 0.292 0.144 0.908 [2 per cell]
O: 0.389 0.362 0.365 [2 per cell]
O: 0.404 0.645 0.818 [2 per cell]
O: 0.435 0.860 0.278 [2 per cell]

First-principles (meta-GGA SCAN) data for Li8VO6 at its PBEsol-relaxed geometry, as listed in Alexandria via LeMat-Bulk.

Results
For the total magnetization, the calculation gives 3.0 μB per cell. The formation energy (no corrections) is -2197.4 meV per atom. The value obtained for the energy is -320.867 eV per cell.

a b c (Å): 5.3110 5.3110 14.7751
angles (deg): 90.00 90.00 120.00
Space group R-3 (No. 148, hexagonal axes)
Symmetry-distinct sites (fractional):
Li: 0.0000 0.0000 0.1601 [6 per cell]
Li: 0.0159 0.3704 0.3822 [18 per cell]
V: 0.0000 0.0000 0.5000 [3 per cell]
O: 0.0099 0.3077 0.5774 [18 per cell]

First-principles (meta-GGA SCAN) data for Li2V5O10 at its PBEsol-relaxed geometry, as listed in Alexandria via LeMat-Bulk.

Results
For the total magnetization, the calculation gives 5.0 μB per cell. The formation energy (no corrections) is -2528.0 meV per atom. The value obtained for the energy is -197.509 eV per cell.

a b c (Å): 4.871 4.920 7.593
angles (deg): 76.10 75.67 79.74
Space group P-1 (No. 2)
Symmetry-distinct sites (fractional):
Li: 0.231 0.484 0.103 [2 per cell]
V: 0.000 0.500 0.500 [1 per cell]
V: 0.092 0.988 0.825 [2 per cell]
V: 0.328 0.994 0.400 [2 per cell]
O: 0.048 0.784 0.634 [2 per cell]
O: 0.103 0.236 0.981 [2 per cell]
O: 0.195 0.744 0.278 [2 per cell]
O: 0.331 0.249 0.564 [2 per cell]
O: 0.462 0.810 0.810 [2 per cell]

First-principles (meta-GGA SCAN) data for LiVO3 at its PBEsol-relaxed geometry, as listed in Alexandria via LeMat-Bulk.

Results
For the total magnetization, the calculation gives 0.0 μB per cell. The formation energy (no corrections) is -2450.2 meV per atom. The value obtained for the energy is -203.290 eV per cell.

a b c (Å): 5.205 8.177 5.286
angles (deg): 90.00 115.16 90.00
Space group C2 (No. 5)
Symmetry-distinct sites (fractional):
Li: 0.000 0.000 0.000 [2 per cell]
Li: 0.000 0.367 0.000 [2 per cell]
V: 0.000 0.171 0.500 [2 per cell]
V: 0.000 0.817 0.500 [2 per cell]
O: 0.178 0.992 0.738 [4 per cell]
O: 0.215 0.185 0.281 [4 per cell]
O: 0.226 0.808 0.289 [4 per cell]

First-principles (meta-GGA SCAN) data for LiV2O4 at its PBEsol-relaxed geometry, as listed in Alexandria via LeMat-Bulk.

Results
For the total magnetization, the calculation gives 3.0 μB per cell. The formation energy (no corrections) is -2529.2 meV per atom. The value obtained for the energy is -79.995 eV per cell.

a b c (Å): 4.845 2.812 5.247
angles (deg): 90.00 108.65 90.00
Space group P2/m (No. 10)
Symmetry-distinct sites (fractional):
Li: 0.000 0.000 0.000 [1 per cell]
V: 0.000 0.500 0.500 [1 per cell]
V: 0.500 0.000 0.500 [1 per cell]
O: 0.237 0.000 0.715 [2 per cell]
O: 0.251 0.500 0.274 [2 per cell]